No. 1
# RbP2ClO (GGA-PBEsol, relaxed)
data_RbP2ClO
_symmetry_space_group_name_H-M 'P 1'
_symmetry_Int_Tables_number 1
_cell_length_a 4.623
_cell_length_b 4.623
_cell_length_c 5.404
_cell_angle_alpha 90.00
_cell_angle_beta 90.00
_cell_angle_gamma 90.00
loop_
_symmetry_equiv_pos_as_xyz
'x,y,z'
loop_
_atom_site_label
_atom_site_fract_x
_atom_site_fract_y
_atom_site_fract_z
_atom_site_occupancy
O1 0.000 0.000 0.500 1
P1 0.000 0.500 0.000 1
P2 0.500 0.000 0.000 1
Rb1 0.500 0.500 0.500 1
Cl1 0.000 0.000 0.000 1
# **Electronic total energy**: -3.162 eV/atom
# **E_form (uncorrected)**: 78 kJ per mole of atoms
# **Space-group type**: P4/mmm (123)
# **Spin magnetization**: 3.16 μB per cell

=====

No. 2
# P2RhClO (GGA-PBEsol, relaxed)
data_P2RhClO
_symmetry_space_group_name_H-M 'P 1'
_symmetry_Int_Tables_number 1
_cell_length_a 3.698
_cell_length_b 4.715
_cell_length_c 4.715
_cell_angle_alpha 90.00
_cell_angle_beta 90.00
_cell_angle_gamma 90.00
loop_
_symmetry_equiv_pos_as_xyz
'x,y,z'
loop_
_atom_site_label
_atom_site_fract_x
_atom_site_fract_y
_atom_site_fract_z
_atom_site_occupancy
Cl1 0.500 0.500 0.500 1
P1 0.000 0.500 0.000 1
Rh1 0.000 0.000 0.000 1
O1 0.500 0.000 0.000 1
P2 0.000 0.000 0.500 1
# **Electronic total energy**: -5.057 eV/atom
# **E_form (uncorrected)**: 33 kJ per mole of atoms
# **Space-group type**: P4/mmm (123)
# **Spin magnetization**: 0.00 μB per cell
# **E above lowest polymorph**: 0 meV/atom

=====

No. 3
# P2RhClO (GGA-PBEsol, relaxed)
data_P2RhClO
_symmetry_space_group_name_H-M 'P 1'
_symmetry_Int_Tables_number 1
_cell_length_a 4.438
_cell_length_b 4.438
_cell_length_c 4.864
_cell_angle_alpha 90.00
_cell_angle_beta 90.00
_cell_angle_gamma 90.00
loop_
_symmetry_equiv_pos_as_xyz
'x,y,z'
loop_
_atom_site_label
_atom_site_fract_x
_atom_site_fract_y
_atom_site_fract_z
_atom_site_occupancy
O1 0.500 0.500 0.500 1
P1 0.000 0.500 0.000 1
Rh1 0.000 0.000 0.000 1
Cl1 0.000 0.000 0.500 1
P2 0.500 0.000 0.000 1
# **Electronic total energy**: -4.527 eV/atom
# **E_form (uncorrected)**: 84 kJ per mole of atoms
# **Space-group type**: P4/mmm (123)
# **Spin magnetization**: 1.39 μB per cell
# **E above lowest polymorph**: 530 meV/atom

=====

No. 4
# SiP2ClO (GGA-PBEsol, relaxed)
data_SiP2ClO
_symmetry_space_group_name_H-M 'P 1'
_symmetry_Int_Tables_number 1
_cell_length_a 3.281
_cell_length_b 4.782
_cell_length_c 4.782
_cell_angle_alpha 90.00
_cell_angle_beta 90.00
_cell_angle_gamma 90.00
loop_
_symmetry_equiv_pos_as_xyz
'x,y,z'
loop_
_atom_site_label
_atom_site_fract_x
_atom_site_fract_y
_atom_site_fract_z
_atom_site_occupancy
P1 0.000 0.500 0.000 1
Cl1 0.500 0.500 0.500 1
P2 0.000 0.000 0.500 1
O1 0.500 0.000 0.000 1
Si1 0.000 0.000 0.000 1
# **Electronic total energy**: -4.966 eV/atom
# **E_form (uncorrected)**: -5 kJ per mole of atoms
# **Space-group type**: P4/mmm (123)
# **Spin magnetization**: 0.00 μB per cell
# **E above lowest polymorph**: 0 meV/atom

=====

No. 5
# SiP2ClO (GGA-PBEsol, relaxed)
data_SiP2ClO
_symmetry_space_group_name_H-M 'P 1'
_symmetry_Int_Tables_number 1
_cell_length_a 4.400
_cell_length_b 4.478
_cell_length_c 4.478
_cell_angle_alpha 90.00
_cell_angle_beta 90.00
_cell_angle_gamma 90.00
loop_
_symmetry_equiv_pos_as_xyz
'x,y,z'
loop_
_atom_site_label
_atom_site_fract_x
_atom_site_fract_y
_atom_site_fract_z
_atom_site_occupancy
O1 0.500 0.500 0.500 1
Cl1 0.500 0.000 0.000 1
Si1 0.000 0.000 0.000 1
P1 0.000 0.500 0.000 1
P2 0.000 0.000 0.500 1
# **Electronic total energy**: -3.929 eV/atom
# **E_form (uncorrected)**: 95 kJ per mole of atoms
# **Space-group type**: P4/mmm (123)
# **Spin magnetization**: 0.21 μB per cell
# **E above lowest polymorph**: 1037 meV/atom

=====

No. 6
# SiPCl2O (GGA-PBEsol, relaxed)
data_SiPCl2O
_symmetry_space_group_name_H-M 'P 1'
_symmetry_Int_Tables_number 1
_cell_length_a 4.513
_cell_length_b 4.513
_cell_length_c 4.660
_cell_angle_alpha 90.00
_cell_angle_beta 90.00
_cell_angle_gamma 90.00
loop_
_symmetry_equiv_pos_as_xyz
'x,y,z'
loop_
_atom_site_label
_atom_site_fract_x
_atom_site_fract_y
_atom_site_fract_z
_atom_site_occupancy
O1 0.500 0.500 0.500 1
Si1 0.000 0.000 0.000 1
P1 0.000 0.000 0.500 1
Cl1 0.500 0.000 0.000 1
Cl2 0.000 0.500 0.000 1
# **Electronic total energy**: -3.534 eV/atom
# **E_form (uncorrected)**: 60 kJ per mole of atoms
# **Space-group type**: P4/mmm (123)
# **Spin magnetization**: 2.19 μB per cell

=====

No. 7
# TeP2ClO (GGA-PBEsol, relaxed)
data_TeP2ClO
_symmetry_space_group_name_H-M 'P 1'
_symmetry_Int_Tables_number 1
_cell_length_a 3.948
_cell_length_b 3.948
_cell_length_c 5.669
_cell_angle_alpha 90.00
_cell_angle_beta 90.00
_cell_angle_gamma 90.00
loop_
_symmetry_equiv_pos_as_xyz
'x,y,z'
loop_
_atom_site_label
_atom_site_fract_x
_atom_site_fract_y
_atom_site_fract_z
_atom_site_occupancy
P1 0.500 0.000 0.000 1
P2 0.000 0.500 0.000 1
O1 0.000 0.000 0.000 1
Cl1 0.000 0.000 0.500 1
Te1 0.500 0.500 0.500 1
# **Electronic total energy**: -4.107 eV/atom
# **E_form (uncorrected)**: 35 kJ per mole of atoms
# **Space-group type**: P4/mmm (123)
# **Spin magnetization**: 0.00 μB per cell
# **E above lowest polymorph**: 0 meV/atom

=====

No. 8
# TeP2ClO (GGA-PBEsol, relaxed)
data_TeP2ClO
_symmetry_space_group_name_H-M 'P 1'
_symmetry_Int_Tables_number 1
_cell_length_a 3.931
_cell_length_b 5.173
_cell_length_c 5.173
_cell_angle_alpha 90.00
_cell_angle_beta 90.00
_cell_angle_gamma 90.00
loop_
_symmetry_equiv_pos_as_xyz
'x,y,z'
loop_
_atom_site_label
_atom_site_fract_x
_atom_site_fract_y
_atom_site_fract_z
_atom_site_occupancy
P1 0.000 0.000 0.500 1
P2 0.000 0.500 0.000 1
Cl1 0.500 0.500 0.500 1
Te1 0.000 0.000 0.000 1
O1 0.500 0.000 0.000 1
# **Electronic total energy**: -3.777 eV/atom
# **E_form (uncorrected)**: 67 kJ per mole of atoms
# **Space-group type**: P4/mmm (123)
# **Spin magnetization**: 0.89 μB per cell
# **E above lowest polymorph**: 330 meV/atom

=====

No. 9
# ZnPCl2O (GGA-PBEsol, relaxed)
data_ZnPCl2O
_symmetry_space_group_name_H-M 'P 1'
_symmetry_Int_Tables_number 1
_cell_length_a 3.278
_cell_length_b 5.433
_cell_length_c 5.433
_cell_angle_alpha 90.00
_cell_angle_beta 90.00
_cell_angle_gamma 90.00
loop_
_symmetry_equiv_pos_as_xyz
'x,y,z'
loop_
_atom_site_label
_atom_site_fract_x
_atom_site_fract_y
_atom_site_fract_z
_atom_site_occupancy
Cl1 0.000 0.500 0.000 1
Cl2 0.000 0.000 0.500 1
O1 0.000 0.000 0.000 1
P1 0.500 0.000 0.000 1
Zn1 0.500 0.500 0.500 1
# **Electronic total energy**: -3.165 eV/atom
# **E_form (uncorrected)**: 16 kJ per mole of atoms
# **Space-group type**: P4/mmm (123)
# **Spin magnetization**: 0.00 μB per cell

=====

No. 10
# Pb2ClO2 (GGA-PBEsol, relaxed)
data_Pb2ClO2
_symmetry_space_group_name_H-M 'P 1'
_symmetry_Int_Tables_number 1
_cell_length_a 3.934
_cell_length_b 3.934
_cell_length_c 6.760
_cell_angle_alpha 106.92
_cell_angle_beta 106.92
_cell_angle_gamma 90.00
loop_
_symmetry_equiv_pos_as_xyz
'x,y,z'
loop_
_atom_site_label
_atom_site_fract_x
_atom_site_fract_y
_atom_site_fract_z
_atom_site_occupancy
Cl1 0.500 0.500 0.000 1
O1 0.250 0.750 0.500 1
Pb1 0.849 0.849 0.697 1
Pb2 0.151 0.151 0.303 1
O2 0.750 0.250 0.500 1
# **Electronic total energy**: -5.113 eV/atom
# **E_form (uncorrected)**: -98 kJ per mole of atoms
# **Space-group type**: I4/mmm (139)
# **Spin magnetization**: 0.00 μB per cell